Material: ScZnCdSi2
Method: DFT, PBE
State: optimized geometry

Results
Formation energy (no corrections), kJ/mol of formula units: 256

Lattice parameters (Å, degrees): 4.687 4.922 4.687 90.00 90.00 90.00
Fractional coordinates of all 5 atoms:
Sc  0.500  0.500  0.500
Si  0.000  0.000  0.500
Si  0.500  0.000  0.000
Cd  0.000  0.500  0.000
Zn  0.000  0.000  0.000

Material: Sm3Sc3Cd2
Method: DFT, PBE
State: optimized geometry

Results
Formation energy from the elements, meV per atom: -51.2

Lattice parameters (Å, degrees): 5.069 6.191 15.451 90.00 90.00 114.17
Fractional coordinates of all 16 atoms:
Sm  0.282  0.564  0.750
Sc  0.561  0.122  0.750
Sm  0.955  0.909  0.393
Cd  0.763  0.527  0.623
Sc  0.439  0.878  0.250
Sc  0.637  0.273  0.039
Sm  0.718  0.436  0.250
Sm  0.955  0.909  0.107
Cd  0.237  0.473  0.377
Sm  0.045  0.091  0.893
Sm  0.045  0.091  0.607
Cd  0.237  0.473  0.123
Sc  0.363  0.727  0.961
Cd  0.763  0.527  0.877
Sc  0.363  0.727  0.539
Sc  0.637  0.273  0.461

Material: Sm2Sc2Cd3
Method: DFT, PBE
State: optimized geometry

Results
Formation energy from the elements, meV per atom: -156.1

Lattice parameters (Å, degrees): 4.671 3.223 11.909 90.00 78.69 90.00
Fractional coordinates of all 7 atoms:
Cd  0.000  0.000  0.000
Cd  0.160  0.000  0.681
Sm  0.425  0.500  0.151
Sc  0.709  0.500  0.581
Sc  0.291  0.500  0.419
Cd  0.840  0.000  0.319
Sm  0.575  0.500  0.849

Material: Sm4Sc2Cd
Method: DFT, PBE
State: optimized geometry

Results
Formation energy from the elements, meV per atom: 39.0

Lattice parameters (Å, degrees): 3.447 8.383 8.322 116.99 101.95 90.00
Fractional coordinates of all 7 atoms:
Sm  0.087  0.710  0.174
Cd  0.000  0.000  0.000
Sm  0.635  0.392  0.271
Sc  0.218  0.136  0.435
Sc  0.782  0.864  0.565
Sm  0.913  0.290  0.826
Sm  0.365  0.608  0.729

Material: SmSc2Cd
Method: DFT, PBE
State: optimized geometry

Results
Formation energy from the elements, meV per atom: -44.7

Lattice parameters (Å, degrees): 4.951 7.381 6.323 89.99 66.95 89.98
Fractional coordinates of all 8 atoms:
Sm  0.935  0.250  0.131
Cd  0.799  0.750  0.403
Sc  0.638  0.038  0.724
Sm  0.065  0.750  0.869
Sc  0.362  0.962  0.276
Cd  0.201  0.250  0.597
Sc  0.362  0.538  0.276
Sc  0.638  0.462  0.724

Material: Sm12Sc5Cd2
Method: DFT, PBE
State: optimized geometry

Results
Formation energy from the elements, meV per atom: 38.9

Lattice parameters (Å, degrees): 10.775 8.482 8.454 79.87 90.00 129.43
Fractional coordinates of all 19 atoms:
Sm  0.028  0.644  0.811
Sm  0.617  0.644  0.811
Sc  0.626  0.252  0.910
Cd  0.265  0.000  0.000
Sc  0.762  0.524  0.537
Sm  0.417  0.834  0.694
Cd  0.735  0.000  0.000
Sm  0.370  0.217  0.614
Sm  0.847  0.217  0.614
Sc  0.000  0.000  0.500
Sm  0.861  0.723  0.128
Sc  0.374  0.748  0.090
Sm  0.139  0.277  0.872
Sm  0.383  0.356  0.189
Sc  0.238  0.476  0.463
Sm  0.972  0.356  0.189
Sm  0.630  0.783  0.386
Sm  0.583  0.166  0.306
Sm  0.153  0.783  0.386

no.,final energy (Ha/atom),calculated volume (A^3/atom),density of states at the Fermi level (states/eV per cell)
1,-0.123,21.63,2.44
2,-0.163,27.65,18.45
3,-0.136,25.11,6.66
4,-0.169,29.77,9.04
5,-0.170,26.57,9.72
6,-0.173,30.59,32.88